Entry 1:
# La2Ga2Hg3 (PBE, optimized geometry)
data_La2Ga2Hg3
_space_group_name_H-M_alt 'P 1'
_space_group_IT_number 1
_space_group_name_Hall 'P 1'
_cell_length_a 4.869
_cell_length_b 5.969
_cell_length_c 6.872
_cell_angle_alpha 76.87
_cell_angle_beta 90.00
_cell_angle_gamma 114.07
loop_
_atom_site_label
_atom_site_type_symbol
_atom_site_fract_x
_atom_site_fract_y
_atom_site_fract_z
_atom_site_occupancy
Hg1 Hg 0.000 0.000 0.000 1
Hg2 Hg 0.332 0.664 0.256 1
Hg3 Hg 0.668 0.336 0.744 1
La1 La 0.644 0.288 0.246 1
La2 La 0.356 0.712 0.754 1
Ga1 Ga 0.909 0.819 0.418 1
Ga2 Ga 0.091 0.181 0.582 1
# energy relative to the elements = -0.484 eV per atom
# space-group type = No. 12

***

Entry 2:
# LaBiP3 (PBE, optimized geometry)
data_LaBiP3
_space_group_name_H-M_alt 'P 1'
_space_group_IT_number 1
_space_group_name_Hall 'P 1'
_cell_length_a 5.422
_cell_length_b 5.422
_cell_length_c 5.422
_cell_angle_alpha 90.00
_cell_angle_beta 90.00
_cell_angle_gamma 90.00
loop_
_atom_site_label
_atom_site_type_symbol
_atom_site_fract_x
_atom_site_fract_y
_atom_site_fract_z
_atom_site_occupancy
P1 P 0.000 0.500 0.000 1
P2 P 0.500 0.000 0.000 1
P3 P 0.000 0.000 0.500 1
Bi1 Bi 0.500 0.500 0.500 1
La1 La 0.000 0.000 0.000 1
# energy relative to the elements = 0.804 eV per atom
# space-group type = No. 221

***

Entry 3:
# YHgRu (PBE, optimized geometry)
data_YHgRu
_space_group_name_H-M_alt 'P 1'
_space_group_IT_number 1
_space_group_name_Hall 'P 1'
_cell_length_a 4.715
_cell_length_b 4.715
_cell_length_c 4.715
_cell_angle_alpha 60.00
_cell_angle_beta 60.00
_cell_angle_gamma 60.00
loop_
_atom_site_label
_atom_site_type_symbol
_atom_site_fract_x
_atom_site_fract_y
_atom_site_fract_z
_atom_site_occupancy
Y1 Y 0.250 0.250 0.250 1
Ru1 Ru 0.500 0.500 0.500 1
Hg1 Hg 0.000 0.000 0.000 1
# energy relative to the elements = 0.533 eV per atom
# space-group type = No. 216

***

Entry 4:
# TaCrAgCl2 (PBE, optimized geometry)
data_TaCrAgCl2
_space_group_name_H-M_alt 'P 1'
_space_group_IT_number 1
_space_group_name_Hall 'P 1'
_cell_length_a 4.877
_cell_length_b 5.461
_cell_length_c 4.877
_cell_angle_alpha 90.00
_cell_angle_beta 90.00
_cell_angle_gamma 90.00
loop_
_atom_site_label
_atom_site_type_symbol
_atom_site_fract_x
_atom_site_fract_y
_atom_site_fract_z
_atom_site_occupancy
Ag1 Ag 0.000 0.000 0.000 1
Cl1 Cl 0.500 0.000 0.000 1
Cl2 Cl 0.000 0.000 0.500 1
Cr1 Cr 0.500 0.500 0.500 1
Ta1 Ta 0.000 0.500 0.000 1
# space-group type = No. 123
# formation energy from raw total energies = 125.1 kJ per mole of atoms

***

Entry 5:
# MgTiCd (PBE, optimized geometry)
data_MgTiCd
_space_group_name_H-M_alt 'P 1'
_space_group_IT_number 1
_space_group_name_Hall 'P 1'
_cell_length_a 5.903
_cell_length_b 4.803
_cell_length_c 8.320
_cell_angle_alpha 90.00
_cell_angle_beta 90.00
_cell_angle_gamma 90.00
loop_
_atom_site_label
_atom_site_type_symbol
_atom_site_fract_x
_atom_site_fract_y
_atom_site_fract_z
_atom_site_occupancy
Mg1 Mg 0.000 0.250 0.750 1
Mg2 Mg 0.500 0.250 0.750 1
Mg3 Mg 0.000 0.750 0.250 1
Mg4 Mg 0.500 0.750 0.250 1
Cd1 Cd 0.751 0.250 0.417 1
Cd2 Cd 0.251 0.250 0.083 1
Cd3 Cd 0.249 0.750 0.583 1
Cd4 Cd 0.749 0.750 0.917 1
Ti1 Ti 0.751 0.250 0.083 1
Ti2 Ti 0.249 0.750 0.917 1
Ti3 Ti 0.251 0.250 0.417 1
Ti4 Ti 0.749 0.750 0.583 1
# energy relative to the elements = 0.122 eV per atom
# space-group type = No. 62

***

Entry 6:
# Y3HoTe4 (PBE, optimized geometry)
data_Y3HoTe4
_space_group_name_H-M_alt 'P 1'
_space_group_IT_number 1
_space_group_name_Hall 'P 1'
_cell_length_a 4.312
_cell_length_b 7.576
_cell_length_c 7.576
_cell_angle_alpha 108.91
_cell_angle_beta 90.00
_cell_angle_gamma 90.00
loop_
_atom_site_label
_atom_site_type_symbol
_atom_site_fract_x
_atom_site_fract_y
_atom_site_fract_z
_atom_site_occupancy
Te1 Te 0.500 0.751 0.249 1
Te2 Te 0.500 0.249 0.751 1
Te3 Te 0.000 0.752 0.752 1
Te4 Te 0.000 0.248 0.248 1
Y1 Y 0.000 0.500 0.000 1
Y2 Y 0.500 0.500 0.500 1
Y3 Y 0.000 0.000 0.500 1
Ho1 Ho 0.500 0.000 0.000 1
# space-group type = No. 65
# formation energy from raw total energies = -124.7 kJ per mole of atoms

***

Number 1: E_tot -20.203 eV per formula unit. Number 2: E_tot -21.017 eV per formula unit. Number 3: E_tot -14.442 eV per formula unit. Number 4: E_tot -21.539 eV per formula unit. Number 5: E_tot -10.039 eV per formula unit. Number 6: E_tot -46.876 eV per formula unit.